1.
# ScTlSe2 PBE relaxed
# energy relative to the elements, uncorrected: -1081 meV/atom
data_ScTlSe2
_space_group_name_H-M_alt 'I -4 2 d'
_space_group_IT_number 122
_space_group_name_Hall 'I -4 2bw'
_cell_length_a 7.384
_cell_length_b 7.384
_cell_length_c 9.947
_cell_angle_alpha 90.00
_cell_angle_beta 90.00
_cell_angle_gamma 90.00
loop_
_atom_site_label
_atom_site_fract_x
_atom_site_fract_y
_atom_site_fract_z
Sc1 0.000 0.000 0.000
Tl1 0.000 0.000 0.500
Se1 0.175 0.250 0.125

---

2.
# Sc2TlSe PBE relaxed
# energy relative to the elements, uncorrected: -426 meV/atom
# E above lowest polymorph: 0.5181 eV/atom
data_Sc2TlSe
_space_group_name_H-M_alt 'R 3 m'
_space_group_IT_number 160
_space_group_name_Hall 'R 3 -2"'
_cell_length_a 3.6164
_cell_length_b 3.6164
_cell_length_c 27.3724
_cell_angle_alpha 90.00
_cell_angle_beta 90.00
_cell_angle_gamma 120.00
loop_
_atom_site_label
_atom_site_fract_x
_atom_site_fract_y
_atom_site_fract_z
Sc1 0.0000 0.0000 0.0000
Sc2 0.0000 0.0000 0.2389
Tl1 0.0000 0.0000 0.7536
Se1 0.0000 0.0000 0.5135

---

3.
# ScTlSe2 PBE relaxed
# energy relative to the elements, uncorrected: -857 meV/atom
data_ScTlSe2
_space_group_name_H-M_alt 'P 4/m m m'
_space_group_IT_number 123
_space_group_name_Hall '-P 4 2'
_cell_length_a 4.148
_cell_length_b 4.148
_cell_length_c 5.875
_cell_angle_alpha 90.00
_cell_angle_beta 90.00
_cell_angle_gamma 90.00
loop_
_atom_site_label
_atom_site_fract_x
_atom_site_fract_y
_atom_site_fract_z
Sc1 0.000 0.000 0.000
Tl1 0.500 0.500 0.500
Se1 0.000 0.000 0.500
Se2 0.500 0.500 0.000

---

4.
# Sc2TlSe PBE relaxed
# energy relative to the elements, uncorrected: -652 meV/atom
# E above lowest polymorph: 0.2920 eV/atom
data_Sc2TlSe
_space_group_name_H-M_alt 'I m m m'
_space_group_IT_number 71
_space_group_name_Hall '-I 2 2'
_cell_length_a 3.792
_cell_length_b 5.772
_cell_length_c 8.419
_cell_angle_alpha 90.00
_cell_angle_beta 90.00
_cell_angle_gamma 90.00
loop_
_atom_site_label
_atom_site_fract_x
_atom_site_fract_y
_atom_site_fract_z
Sc1 0.000 0.000 0.221
Tl1 0.000 0.500 0.000
Se1 0.000 0.500 0.500

---

5.
# ScTlSe2 PBE relaxed
# energy relative to the elements, uncorrected: -843 meV/atom
data_ScTlSe2
_space_group_name_H-M_alt 'I m m m'
_space_group_IT_number 71
_space_group_name_Hall '-I 2 2'
_cell_length_a 3.889
_cell_length_b 6.940
_cell_length_c 8.666
_cell_angle_alpha 90.00
_cell_angle_beta 90.00
_cell_angle_gamma 90.00
loop_
_atom_site_label
_atom_site_fract_x
_atom_site_fract_y
_atom_site_fract_z
Sc1 0.000 0.000 0.000
Tl1 0.000 0.000 0.500
Se1 0.000 0.500 0.296

---

6.
# Sc2TlSe PBE relaxed
# energy relative to the elements, uncorrected: -905 meV/atom
# E above lowest polymorph: 0.0394 eV/atom
data_Sc2TlSe
_space_group_name_H-M_alt 'R 3 m'
_space_group_IT_number 160
_space_group_name_Hall 'R 3 -2"'
_cell_length_a 3.6786
_cell_length_b 3.6786
_cell_length_c 23.5380
_cell_angle_alpha 90.00
_cell_angle_beta 90.00
_cell_angle_gamma 120.00
loop_
_atom_site_label
_atom_site_fract_x
_atom_site_fract_y
_atom_site_fract_z
Sc1 0.0000 0.0000 0.0000
Sc2 0.0000 0.0000 0.1953
Tl1 0.0000 0.0000 0.7646
Se1 0.0000 0.0000 0.5967

---

7.
# Sc4TlSe PBE relaxed
# energy relative to the elements, uncorrected: 74 meV/atom
data_Sc4TlSe
_space_group_name_H-M_alt 'F -4 3 m'
_space_group_IT_number 216
_space_group_name_Hall 'F -4 2 3'
_cell_length_a 8.297
_cell_length_b 8.297
_cell_length_c 8.297
_cell_angle_alpha 90.00
_cell_angle_beta 90.00
_cell_angle_gamma 90.00
loop_
_atom_site_label
_atom_site_fract_x
_atom_site_fract_y
_atom_site_fract_z
Sc1 0.124 0.124 0.376
Tl1 0.250 0.250 0.750
Se1 0.000 0.000 0.000

---

8.
# Sc2TlSe PBE relaxed
# energy relative to the elements, uncorrected: -292 meV/atom
# E above lowest polymorph: 0.6523 eV/atom
data_Sc2TlSe
_space_group_name_H-M_alt 'R -3 m'
_space_group_IT_number 166
_space_group_name_Hall '-R 3 2"'
_cell_length_a 3.7479
_cell_length_b 3.7479
_cell_length_c 27.6828
_cell_angle_alpha 90.00
_cell_angle_beta 90.00
_cell_angle_gamma 120.00
loop_
_atom_site_label
_atom_site_fract_x
_atom_site_fract_y
_atom_site_fract_z
Sc1 0.0000 0.0000 0.0882
Tl1 0.0000 0.0000 0.5000
Se1 0.0000 0.0000 0.0000

---

9.
# Sc6TlSe3 PBE relaxed
# energy relative to the elements, uncorrected: -989 meV/atom
data_Sc6TlSe3
_space_group_name_H-M_alt 'P 1 21/m 1'
_space_group_IT_number 11
_cell_length_a 11.297
_cell_length_b 3.823
_cell_length_c 11.663
_cell_angle_alpha 90.00
_cell_angle_beta 115.79
_cell_angle_gamma 90.00
loop_
_space_group_symop_operation_xyz
'x,y,z'
'-x,-y,-z'
'-x,y+1/2,-z'
'x,-y+1/2,z'
loop_
_atom_site_label
_atom_site_fract_x
_atom_site_fract_y
_atom_site_fract_z
Sc1 0.050 0.250 0.412
Sc2 0.138 0.250 0.993
Sc3 0.212 0.750 0.247
Sc4 0.287 0.750 0.722
Sc5 0.404 0.250 0.538
Sc6 0.426 0.750 0.079
Tl1 0.421 0.250 0.270
Se1 0.023 0.250 0.163
Se2 0.227 0.750 0.476
Se3 0.324 0.250 0.899

---

10.
# Sc2TlSe PBE relaxed
# energy relative to the elements, uncorrected: -597 meV/atom
# E above lowest polymorph: 0.3473 eV/atom
data_Sc2TlSe
_space_group_name_H-M_alt 'C m m m'
_space_group_IT_number 65
_space_group_name_Hall '-C 2 2'
_cell_length_a 6.429
_cell_length_b 7.775
_cell_length_c 3.499
_cell_angle_alpha 90.00
_cell_angle_beta 90.00
_cell_angle_gamma 90.00
loop_
_atom_site_label
_atom_site_fract_x
_atom_site_fract_y
_atom_site_fract_z
Sc1 0.250 0.250 0.000
Tl1 0.000 0.000 0.500
Se1 0.000 0.500 0.500

---

11.
# Sc2TlSe PBE relaxed
# energy relative to the elements, uncorrected: -739 meV/atom
# E above lowest polymorph: 0.2052 eV/atom
data_Sc2TlSe
_space_group_name_H-M_alt 'P 1 2/m 1'
_space_group_IT_number 10
_cell_length_a 3.378
_cell_length_b 3.449
_cell_length_c 7.615
_cell_angle_alpha 90.00
_cell_angle_beta 97.77
_cell_angle_gamma 90.00
loop_
_space_group_symop_operation_xyz
'x,y,z'
'-x,-y,-z'
'-x,y,-z'
'x,-y,z'
loop_
_atom_site_label
_atom_site_fract_x
_atom_site_fract_y
_atom_site_fract_z
Sc1 0.070 0.000 0.278
Tl1 0.500 0.500 0.000
Se1 0.500 0.500 0.500

---

12.
# ScTlSe2 PBE relaxed
# energy relative to the elements, uncorrected: -1249 meV/atom
data_ScTlSe2
_space_group_name_H-M_alt 'R 3 m'
_space_group_IT_number 160
_space_group_name_Hall 'R 3 -2"'
_cell_length_a 3.9584
_cell_length_b 3.9584
_cell_length_c 23.5010
_cell_angle_alpha 90.00
_cell_angle_beta 90.00
_cell_angle_gamma 120.00
loop_
_atom_site_label
_atom_site_fract_x
_atom_site_fract_y
_atom_site_fract_z
Sc1 0.0000 0.0000 0.0000
Tl1 0.0000 0.0000 0.8321
Se1 0.0000 0.0000 0.3973
Se2 0.0000 0.0000 0.6018

---

13.
# ScTlSe4 PBE relaxed
# energy relative to the elements, uncorrected: -737 meV/atom
# E above lowest polymorph: 0.0000 eV/atom
data_ScTlSe4
_space_group_name_H-M_alt 'C 1 2/c 1'
_space_group_IT_number 15
_cell_length_a 7.609
_cell_length_b 13.195
_cell_length_c 7.168
_cell_angle_alpha 90.00
_cell_angle_beta 106.84
_cell_angle_gamma 90.00
loop_
_space_group_symop_operation_xyz
'x,y,z'
'-x,-y,-z'
'-x,y,-z+1/2'
'x,-y,z+1/2'
'x+1/2,y+1/2,z'
'-x+1/2,-y+1/2,-z'
'-x+1/2,y+1/2,-z+1/2'
'x+1/2,-y+1/2,z+1/2'
loop_
_atom_site_label
_atom_site_fract_x
_atom_site_fract_y
_atom_site_fract_z
Sc1 0.000 0.003 0.250
Tl1 0.000 0.366 0.250
Se1 0.059 0.166 0.514
Se2 0.239 0.090 0.073

---

14.
# Sc3Tl2Se6 PBE relaxed
# energy relative to the elements, uncorrected: -1283 meV/atom
data_Sc3Tl2Se6
_space_group_name_H-M_alt 'C 1 2/m 1'
_space_group_IT_number 12
_cell_length_a 6.797
_cell_length_b 11.768
_cell_length_c 7.944
_cell_angle_alpha 90.00
_cell_angle_beta 106.67
_cell_angle_gamma 90.00
loop_
_space_group_symop_operation_xyz
'x,y,z'
'-x,-y,-z'
'-x,y,-z'
'x,-y,z'
'x+1/2,y+1/2,z'
'-x+1/2,-y+1/2,-z'
'-x+1/2,y+1/2,-z'
'x+1/2,-y+1/2,z'
loop_
_atom_site_label
_atom_site_fract_x
_atom_site_fract_y
_atom_site_fract_z
Sc1 0.000 0.000 0.000
Sc2 0.000 0.332 0.000
Tl1 0.000 0.166 0.500
Se1 0.233 0.167 0.199
Se2 0.233 0.500 0.196

---

15.
# Sc2TlSe PBE relaxed
# energy relative to the elements, uncorrected: -743 meV/atom
# E above lowest polymorph: 0.2013 eV/atom
data_Sc2TlSe
_space_group_name_H-M_alt 'P 4/m m m'
_space_group_IT_number 123
_space_group_name_Hall '-P 4 2'
_cell_length_a 3.351
_cell_length_b 3.351
_cell_length_c 7.706
_cell_angle_alpha 90.00
_cell_angle_beta 90.00
_cell_angle_gamma 90.00
loop_
_atom_site_label
_atom_site_fract_x
_atom_site_fract_y
_atom_site_fract_z
Sc1 0.000 0.000 0.220
Tl1 0.500 0.500 0.500
Se1 0.500 0.500 0.000

---

16.
# Sc4TlSe6 PBE relaxed
# energy relative to the elements, uncorrected: -1481 meV/atom
data_Sc4TlSe6
_space_group_name_H-M_alt 'C m c m'
_space_group_IT_number 63
_space_group_name_Hall '-C 2c 2'
_cell_length_a 3.924
_cell_length_b 13.043
_cell_length_c 20.695
_cell_angle_alpha 90.00
_cell_angle_beta 90.00
_cell_angle_gamma 90.00
loop_
_atom_site_label
_atom_site_fract_x
_atom_site_fract_y
_atom_site_fract_z
Sc1 0.000 0.091 0.130
Sc2 0.000 0.365 0.039
Tl1 0.000 0.169 0.750
Se1 0.000 0.000 0.000
Se2 0.000 0.146 0.250
Se3 0.000 0.272 0.581
Se4 0.000 0.458 0.152

---

17.
# ScTlSe2 PBE relaxed
# energy relative to the elements, uncorrected: -1033 meV/atom
data_ScTlSe2
_space_group_name_H-M_alt 'P 4 m m'
_space_group_IT_number 99
_cell_length_a 3.777
_cell_length_b 3.777
_cell_length_c 8.961
_cell_angle_alpha 90.00
_cell_angle_beta 90.00
_cell_angle_gamma 90.00
loop_
_space_group_symop_operation_xyz
'x,y,z'
'-y,x,z'
'-x,-y,z'
'y,-x,z'
'-x,y,z'
'y,x,z'
'x,-y,z'
'-y,-x,z'
loop_
_atom_site_label
_atom_site_fract_x
_atom_site_fract_y
_atom_site_fract_z
Sc1 0.000 0.000 0.000
Tl1 0.500 0.500 0.451
Se1 0.000 0.000 0.274
Se2 0.500 0.500 0.916

---

18.
# ScTlSe2 PBE relaxed
# energy relative to the elements, uncorrected: -589 meV/atom
data_ScTlSe2
_space_group_name_H-M_alt 'I -4 m 2'
_space_group_IT_number 119
_space_group_name_Hall 'I -4 -2'
_cell_length_a 4.159
_cell_length_b 4.159
_cell_length_c 10.695
_cell_angle_alpha 90.00
_cell_angle_beta 90.00
_cell_angle_gamma 90.00
loop_
_atom_site_label
_atom_site_fract_x
_atom_site_fract_y
_atom_site_fract_z
Sc1 0.000 0.000 0.000
Tl1 0.000 0.500 0.250
Se1 0.000 0.000 0.500
Se2 0.000 0.500 0.750

---

19.
# ScTlSe2 PBE relaxed
# energy relative to the elements, uncorrected: -717 meV/atom
data_ScTlSe2
_space_group_name_H-M_alt 'F m -3 m'
_space_group_IT_number 225
_space_group_name_Hall '-F 4 2 3'
_cell_length_a 7.185
_cell_length_b 7.185
_cell_length_c 7.185
_cell_angle_alpha 90.00
_cell_angle_beta 90.00
_cell_angle_gamma 90.00
loop_
_atom_site_label
_atom_site_fract_x
_atom_site_fract_y
_atom_site_fract_z
Sc1 0.000 0.000 0.000
Tl1 0.000 0.000 0.500
Se1 0.250 0.250 0.250

---

20.
# ScTlSe2 PBE relaxed
# energy relative to the elements, uncorrected: -1105 meV/atom
data_ScTlSe2
_space_group_name_H-M_alt 'P 1 m 1'
_space_group_IT_number 6
_cell_length_a 3.564
_cell_length_b 3.833
_cell_length_c 8.086
_cell_angle_alpha 90.00
_cell_angle_beta 90.06
_cell_angle_gamma 90.00
loop_
_space_group_symop_operation_xyz
'x,y,z'
'x,-y,z'
loop_
_atom_site_label
_atom_site_fract_x
_atom_site_fract_y
_atom_site_fract_z
Sc1 0.000 0.000 0.000
Tl1 0.998 0.500 0.533
Se1 0.499 0.000 0.754
Se2 0.500 0.500 0.130

---

21.
# Tm3ScTl4Se8 PBE relaxed
# energy relative to the elements, uncorrected: -1342 meV/atom
data_Tm3ScTl4Se8
_space_group_name_H-M_alt 'R -3 m'
_space_group_IT_number 166
_space_group_name_Hall '-R 3 2"'
_cell_length_a 8.1946
_cell_length_b 8.1946
_cell_length_c 23.3058
_cell_angle_alpha 90.00
_cell_angle_beta 90.00
_cell_angle_gamma 120.00
loop_
_atom_site_label
_atom_site_fract_x
_atom_site_fract_y
_atom_site_fract_z
Tm1 0.0000 0.5000 0.0000
Sc1 0.0000 0.0000 0.0000
Tl1 0.0000 0.0000 0.5000
Tl2 0.0000 0.5000 0.5000
Se1 0.0000 0.0000 0.2658
Se2 0.0080 0.5040 0.7329

---

22.
# TmSc2Tl3Se6 PBE relaxed
# energy relative to the elements, uncorrected: -1294 meV/atom
data_TmSc2Tl3Se6
_space_group_name_H-M_alt 'C 1 2/m 1'
_space_group_IT_number 12
_cell_length_a 6.983
_cell_length_b 12.089
_cell_length_c 8.092
_cell_angle_alpha 90.00
_cell_angle_beta 106.72
_cell_angle_gamma 90.00
loop_
_space_group_symop_operation_xyz
'x,y,z'
'-x,-y,-z'
'-x,y,-z'
'x,-y,z'
'x+1/2,y+1/2,z'
'-x+1/2,-y+1/2,-z'
'-x+1/2,y+1/2,-z'
'x+1/2,-y+1/2,z'
loop_
_atom_site_label
_atom_site_fract_x
_atom_site_fract_y
_atom_site_fract_z
Tm1 0.000 0.000 0.000
Sc1 0.000 0.333 0.000
Tl1 0.000 0.164 0.500
Tl2 0.000 0.500 0.500
Se1 0.222 0.500 0.195
Se2 0.237 0.171 0.198

---

23.
# TmScTlSe PBE relaxed
# energy relative to the elements, uncorrected: -916 meV/atom
data_TmScTlSe
_space_group_name_H-M_alt 'R 3 m'
_space_group_IT_number 160
_space_group_name_Hall 'R 3 -2"'
_cell_length_a 3.7501
_cell_length_b 3.7501
_cell_length_c 24.1430
_cell_angle_alpha 90.00
_cell_angle_beta 90.00
_cell_angle_gamma 120.00
loop_
_atom_site_label
_atom_site_fract_x
_atom_site_fract_y
_atom_site_fract_z
Tm1 0.0000 0.0000 0.0000
Sc1 0.0000 0.0000 0.1941
Tl1 0.0000 0.0000 0.4324
Se1 0.0000 0.0000 0.5938

---

24.
# ScU2Tl2Se6 PBE relaxed
# energy relative to the elements, uncorrected: -1106 meV/atom
data_ScU2Tl2Se6
_space_group_name_H-M_alt 'C 1 2/m 1'
_space_group_IT_number 12
_cell_length_a 7.063
_cell_length_b 12.186
_cell_length_c 8.223
_cell_angle_alpha 90.00
_cell_angle_beta 106.83
_cell_angle_gamma 90.00
loop_
_space_group_symop_operation_xyz
'x,y,z'
'-x,-y,-z'
'-x,y,-z'
'x,-y,z'
'x+1/2,y+1/2,z'
'-x+1/2,-y+1/2,-z'
'-x+1/2,y+1/2,-z'
'x+1/2,-y+1/2,z'
loop_
_atom_site_label
_atom_site_fract_x
_atom_site_fract_y
_atom_site_fract_z
Sc1 0.000 0.000 0.000
U1 0.000 0.333 0.000
Tl1 0.000 0.168 0.500
Se1 0.230 0.161 0.200
Se2 0.246 0.500 0.200

---

25.
# ScU3Tl4Se8 PBE relaxed
# energy relative to the elements, uncorrected: -962 meV/atom
data_ScU3Tl4Se8
_space_group_name_H-M_alt 'R -3 m'
_space_group_IT_number 166
_space_group_name_Hall '-R 3 2"'
_cell_length_a 8.2248
_cell_length_b 8.2248
_cell_length_c 23.6570
_cell_angle_alpha 90.00
_cell_angle_beta 90.00
_cell_angle_gamma 120.00
loop_
_atom_site_label
_atom_site_fract_x
_atom_site_fract_y
_atom_site_fract_z
Sc1 0.0000 0.0000 0.0000
U1 0.0000 0.5000 0.0000
Tl1 0.0000 0.0000 0.5000
Tl2 0.0000 0.5000 0.5000
Se1 0.0000 0.0000 0.2635
Se2 0.0118 0.5059 0.7337